No. 1
! PBE In2H2Ir, optimized geometry; values from VASP
&SYSTEM
  ibrav = 0, nat = 10, ntyp = 3
/
ATOMIC_SPECIES
H 1.01 H.upf
Ir 192.22 Ir.upf
In 114.82 In.upf
ATOMIC_POSITIONS angstrom
H -4.0285 1.9757 -0.2921
H -4.3857 3.5272 2.0381
H -1.8468 2.7170 2.9667
H -1.4896 1.1655 0.6365
Ir 0.0000 0.0000 0.0000
Ir -2.9376 2.3463 1.3373
In -4.5062 -0.0603 0.5046
In -5.5971 1.7172 2.5525
In -3.1762 1.3612 4.1512
In -2.0852 -0.4163 2.1033
CELL_PARAMETERS angstrom
-0.8135 3.1335 4.6223
-5.0618 1.5591 -1.9478
-1.8071 -3.3917 1.9813
! calculated density = 10.2 g/cm³
! distance to the lowest polymorph of the same formula = 202.7 meV per atom

=====

No. 2
! PBE NaTh2P3O12, optimized geometry; values from VASP
&SYSTEM
  ibrav = 0, nat = 36, ntyp = 4
/
ATOMIC_SPECIES
Na 22.99 Na.upf
Th 232.04 Th.upf
P 30.97 P.upf
O 16.00 O.upf
ATOMIC_POSITIONS angstrom
Na 8.6811 4.1461 7.1055
Na 8.4437 2.5296 3.0724
Th 3.0274 1.8546 3.7698
Th 4.2370 0.9772 7.8030
Th 15.0240 5.1412 4.3121
Th 13.7867 6.0899 0.2789
P 12.8547 4.3708 6.5686
P 11.6683 5.1888 2.5354
P 10.3374 1.0904 5.9563
P 7.5950 5.9000 1.9231
P 5.2266 2.6935 1.5514
P 6.4236 1.8480 5.5846
O 10.1673 1.7410 4.5626
O 7.9101 5.3060 0.5294
O 3.9158 1.8695 1.4070
O 4.9010 1.5675 5.4402
O 14.1862 5.2043 6.6747
O 13.2126 5.4764 2.6415
O 5.2500 3.9273 0.6330
O 7.2759 0.9556 4.6661
O 5.1515 3.1053 3.0632
O 6.6471 1.4940 7.0964
O 12.8902 3.1520 7.4902
O 10.8695 6.1101 3.4570
O 6.4956 1.8545 1.3168
O 6.7900 3.3245 5.3500
O 9.7135 1.8944 7.1215
O 7.6798 4.8859 3.0884
O 16.6124 6.0905 6.0216
O 15.5985 6.4660 1.9884
O 11.6214 5.2514 6.7986
O 11.3564 3.7059 2.7655
O 2.4239 0.9155 6.0929
O 1.6509 0.6729 2.0597
O 12.9438 3.9322 5.0570
O 11.4371 5.5721 1.0238
CELL_PARAMETERS angstrom
9.4628 0.0063 -0.0346
6.9705 6.3998 -0.0346
1.5061 0.5871 8.0663
! calculated density = 5.2 g/cm³
! raw formation energy = -2.874 eV per atom

=====

No. 3
! PBE FeRe8B2, optimized geometry; values from VASP
&SYSTEM
  ibrav = 0, nat = 11, ntyp = 3
/
ATOMIC_SPECIES
Fe 55.84 Fe.upf
Re 186.21 Re.upf
B 10.81 B.upf
ATOMIC_POSITIONS angstrom
Fe 0.0000 0.0000 0.0000
Re 4.5144 2.2791 2.0787
Re 1.8547 1.9407 1.5183
Re -0.2591 3.8073 5.5905
Re 0.2588 4.1458 2.6477
Re 2.4006 4.1458 6.1509
Re 2.8740 4.0292 3.2007
Re 1.3814 2.0572 4.4684
Re 3.9965 1.9407 5.0215
B 4.1325 4.0604 4.9095
B 0.1228 2.0260 2.7597
CELL_PARAMETERS angstrom
5.6297 0.1881 1.0140
-2.8844 3.9515 -0.4258
1.5100 1.9469 7.0809
! calculated formation energy = 0.23 eV/atom
! calculated density = 16.9 g/cm³

=====

No. 4
! PBE LaYCd2, optimized geometry; values from VASP
&SYSTEM
  ibrav = 0, nat = 4, ntyp = 3
/
ATOMIC_SPECIES
Y 88.91 Y.upf
Cd 112.41 Cd.upf
La 138.91 La.upf
ATOMIC_POSITIONS angstrom
Y 0.6056 -2.7942 1.5050
Cd -3.3305 -6.7064 7.9003
Cd 0.6508 -0.5788 3.9658
La -1.7333 -3.4902 4.1116
CELL_PARAMETERS angstrom
-1.5295 -0.9553 6.1960
-1.8691 -5.8880 1.8656
4.6888 3.5386 -2.6712
! calculated formation energy = -0.24 eV/atom
! calculated density = 6.7 g/cm³
! distance to the lowest polymorph of the same formula = 92.3 meV per atom

=====

No. 5
! PBE Er2Tm3Tl2, optimized geometry; values from VASP
&SYSTEM
  ibrav = 0, nat = 7, ntyp = 3
/
ATOMIC_SPECIES
Er 167.26 Er.upf
Tm 168.93 Tm.upf
Tl 204.38 Tl.upf
ATOMIC_POSITIONS angstrom
Er 2.6693 3.2172 2.0111
Er -0.0006 -1.1682 5.8181
Tm 2.6692 0.0003 -0.0002
Tm 2.6689 0.2351 3.6507
Tm -0.0002 1.8139 4.1786
Tl 2.6687 0.4359 6.7469
Tl 0.0000 1.6131 1.0823
CELL_PARAMETERS angstrom
5.3385 0.0005 -0.0005
-2.6687 4.6135 -0.2952
-0.0010 -2.5650 8.1249
! calculated formation energy = -0.19 eV/atom
! calculated density = 10.6 g/cm³
! distance to the lowest polymorph of the same formula = 0.0 meV per atom

=====

No. 6
! PBE LiLu2Ta, optimized geometry; values from VASP
&SYSTEM
  ibrav = 0, nat = 4, ntyp = 3
/
ATOMIC_SPECIES
Lu 174.97 Lu.upf
Ta 180.95 Ta.upf
Li 6.94 Li.upf
ATOMIC_POSITIONS angstrom
Lu 0.0000 0.0000 6.8164
Lu 0.0000 0.0000 2.0791
Ta 1.6299 1.6299 0.0000
Li 1.6299 1.6299 4.4477
CELL_PARAMETERS angstrom
3.2597 0.0000 0.0000
0.0000 3.2597 0.0000
0.0000 0.0000 8.8954
! calculated formation energy = 0.21 eV/atom
! calculated density = 9.4 g/cm³
! distance to the lowest polymorph of the same formula = 0.0 meV per atom

=====

Number 1: total magnetization 0.00 μB/f.u.. Number 2: total magnetization 0.00 μB/f.u.. Number 3: total magnetization 2.41 μB/f.u.. Number 4: total magnetization 0.00 μB/f.u.. Number 5: total magnetization 0.00 μB/f.u.. Number 6: total magnetization 0.00 μB/f.u..